[1]
The following is a GGA-PBE calculation of a geometry-optimized CaMgAlCu structure, from the Alexandria database.

For the formation energy, the calculation gives -58.4 meV per atom.

It has space group F-43m (No. 216), with a = 6.894 Å, b = 6.894 Å, c = 6.894 Å, α = 90.00°, β = 90.00° and γ = 90.00°. The inequivalent atoms are Ca at (0.000, 0.000, 0.000), Mg at (0.000, 0.000, 0.500), Al at (0.250, 0.250, 0.250) and Cu at (0.250, 0.250, 0.750).

[2]
The following is a GGA-PBE calculation of a geometry-optimized Na2S3N structure, from the Alexandria database.

Its formation energy without anion corrections is -302 kJ/mol of formula units. As for the energy above the most stable polymorph in this dataset: 0.0 kJ/mol of formula units.

It has space group C2/m (No. 12), with a = 9.141 Å, b = 7.326 Å, c = 9.471 Å, α = 90.00°, β = 109.61° and γ = 90.00°. The inequivalent atoms are Na at (0.000, 0.000, 0.000), Na at (0.000, 0.500, 0.500), Na at (0.207, 0.000, 0.709), S at (0.049, 0.225, 0.274), S at (0.162, 0.000, 0.396) and N at (0.064, 0.500, 0.033).

| no. | calculated volume (Å³ per cell) |
| --- | --- |
| 1 | 327.7 |
| 2 | 597.5 |